LuInFeCu: optimized geometry, PBE.

Structure (POSCAR):
```
LuInFeCu
1.0
2.052 -1.097 3.998
3.067 2.897 1.897
-1.078 2.306 3.862
Cu Fe In Lu
1 1 1 1
direct
0.750 0.750 0.750
0.250 0.250 0.250
0.000 0.000 0.000
0.500 0.500 0.500
```

Results
distance to the lowest polymorph of the same formula	0.0	meV/atom
SG	F-43m
magnetic moment	2.00	μB per formula unit
calculated density	9.7	Mg/m³
E_tot	-19.41	eV/cell